Record 1
# PBE LiAcBi2Au4, optimized geometry
# - Volume: 23.93 Å³/atom
# - N(E_F): 3.921 states/eV/f.u.
# - Energy of formation: -0.44 eV/atom
# - Total moment: 0.0 μB/f.u.
data_LiAcBi2Au4
_chemical_formula_sum 'Li3 Ac3 Bi6 Au12'
_cell_length_a 4.9734
_cell_length_b 4.9734
_cell_length_c 26.8081
_cell_angle_alpha 90.00
_cell_angle_beta 90.00
_cell_angle_gamma 120.00
_symmetry_space_group_name_H-M 'R -3 m'
_symmetry_Int_Tables_number 166
_symmetry_space_group_name_Hall '-R 3 2"'
loop_
_atom_site_label
_atom_site_type_symbol
_atom_site_fract_x
_atom_site_fract_y
_atom_site_fract_z
Li1 Li 0.0000 0.0000 0.0000
Ac1 Ac 0.0000 0.0000 0.5000
Bi1 Bi 0.0000 0.0000 0.2564
Au1 Au 0.0000 0.0000 0.1071
Au2 Au 0.0000 0.0000 0.3655


Record 2
# PBE HfNbFe, optimized geometry
# - Volume: 16.91 Å³/atom
# - N(E_F): 3.046 states/eV/f.u.
# - Energy of formation: -0.11 eV/atom
# - Energy relative to the lowest polymorph listed for this composition: 0.007 eV/f.u.
# - Total moment: 0.0 μB/f.u.
data_HfNbFe
_chemical_formula_sum 'Hf16 Nb16 Fe16'
_cell_length_a 5.109
_cell_length_b 9.279
_cell_length_c 17.116
_cell_angle_alpha 90.00
_cell_angle_beta 90.00
_cell_angle_gamma 90.00
_symmetry_space_group_name_H-M 'F d d d'
_symmetry_Int_Tables_number 70
loop_
_symmetry_equiv_pos_as_xyz
'x,y,z'
'-x,-y,-z'
'-x+1/4,-y+1/4,z'
'x+1/4,y+1/4,-z'
'x,-y+1/4,-z+1/4'
'-x,y+1/4,z+1/4'
'-x+1/4,y,-z+1/4'
'x+1/4,-y,z+1/4'
'x,y+1/2,z+1/2'
'-x,-y+1/2,-z+1/2'
'-x+1/4,-y+3/4,z+1/2'
'x+1/4,y+3/4,-z+1/2'
'x,-y+3/4,-z+3/4'
'-x,y+3/4,z+3/4'
'-x+1/4,y+1/2,-z+3/4'
'x+1/4,-y+1/2,z+3/4'
'x+1/2,y,z+1/2'
'-x+1/2,-y,-z+1/2'
'-x+3/4,-y+1/4,z+1/2'
'x+3/4,y+1/4,-z+1/2'
'x+1/2,-y+1/4,-z+3/4'
'-x+1/2,y+1/4,z+3/4'
'-x+3/4,y,-z+3/4'
'x+3/4,-y,z+3/4'
'x+1/2,y+1/2,z'
'-x+1/2,-y+1/2,-z'
'-x+3/4,-y+3/4,z'
'x+3/4,y+3/4,-z'
'x+1/2,-y+3/4,-z+1/4'
'-x+1/2,y+3/4,z+1/4'
'-x+3/4,y+1/2,-z+1/4'
'x+3/4,-y+1/2,z+1/4'
loop_
_atom_site_label
_atom_site_type_symbol
_atom_site_fract_x
_atom_site_fract_y
_atom_site_fract_z
Hf1 Hf 0.125 0.125 0.038
Nb1 Nb 0.125 0.291 0.625
Fe1 Fe 0.125 0.125 0.503


Record 3
# PBE Tl4Sb2Pb, optimized geometry
# - Volume: 32.98 Å³/atom
# - E: -3.038 eV/atom
# - N(E_F): 3.299 states/eV/f.u.
# - Total moment: 0.0 μB/f.u.
data_Tl4Sb2Pb
_chemical_formula_sum 'Tl8 Sb4 Pb2'
_cell_length_a 8.461
_cell_length_b 6.722
_cell_length_c 8.873
_cell_angle_alpha 90.00
_cell_angle_beta 113.79
_cell_angle_gamma 90.00
_symmetry_space_group_name_H-M 'P 1 21/m 1'
_symmetry_Int_Tables_number 11
_symmetry_space_group_name_Hall '-P 2yb'
loop_
_atom_site_label
_atom_site_type_symbol
_atom_site_fract_x
_atom_site_fract_y
_atom_site_fract_z
Tl1 Tl 0.010 0.250 0.420
Tl2 Tl 0.240 0.750 0.352
Tl3 Tl 0.411 0.011 0.763
Sb1 Sb 0.216 0.750 0.974
Sb2 Sb 0.353 0.250 0.379
Pb1 Pb 0.149 0.250 0.003


Question: volume of number 2 (HfNbFe)?
Answer: 16.91 Å³/atom